Material: TbNd2In3PtAu2
Method: DFT, GGA-PBE
State: relaxed

Properties
Density = 10.8 Mg/m³
Energy = -4.702 eV per atom

abc: 4.0267 13.5051 7.8081
angles: 90.00 90.00 90.00
Closest atoms and distances in Å follow each position.
Space group Amm2 (No. 38)
One atom of each set of equivalent atoms:
Tb 0.0000 0.0000 0.0000 [2 per cell]  4 Au 3.07, 1 Pt 3.10, 6 In 3.37-3.40
Nd 0.0000 0.2023 0.6046 [4 per cell]  4 Au 3.13-3.14, 1 Pt 3.18, 6 In 3.35-3.43
In 0.5000 0.0000 0.6536 [2 per cell]  2 Pt 2.84, 2 Au 2.94
In 0.5000 0.1259 0.2749 [4 per cell]  2 Pt 2.80, 2 Au 2.94-3.03
Pt 0.0000 0.0000 0.3972 [2 per cell]  6 In 2.80-2.84, 1 Tb 3.10
Au 0.5000 0.1626 0.9037 [4 per cell]  3 In 2.94-3.03, 2 Tb 3.07, 4 Nd 3.13-3.14

---

Material: Hf4GaNi
Method: DFT, GGA-PBE
State: relaxed

Properties
Density = 12.4 Mg/m³
Energy = -8.403 eV per atom

abc: 6.6284 6.6284 5.1423
angles: 90.00 90.00 90.00
Closest atoms and distances in Å follow each position.
Space group I422 (No. 97)
One atom of each set of equivalent atoms:
Hf 0.1573 0.3427 0.2500 [8 per cell]  2 Ni 2.81, 2 Ga 2.81, 3 Hf 2.95-3.10
Ga 0.0000 0.0000 0.0000 [2 per cell]  2 Ni 2.57, 8 Hf 2.81
Ni 0.0000 0.0000 0.5000 [2 per cell]  2 Ga 2.57, 8 Hf 2.81

---

Material: HfAlTlSe3
Method: DFT, GGA-PBE
State: relaxed

Properties
Density = 7.3 Mg/m³
Energy = -5.125 eV per atom

abc: 3.6845 15.8096 10.1705
angles: 90.00 90.00 90.00
Closest atoms and distances in Å follow each position.
Space group Cmcm (No. 63)
One atom of each set of equivalent atoms:
Hf 0.0000 0.0000 0.0000 [4 per cell]  6 Se 2.74-2.75
Al 0.0000 0.4596 0.2500 [4 per cell]  4 Se 2.41-2.49
Tl 0.0000 0.2517 0.7500 [4 per cell]  8 Se 3.38-3.64, 2 Tl 3.68
Se 0.0000 0.0654 0.2500 [4 per cell]  2 Al 2.49, 2 Hf 2.74
Se 0.0000 0.3749 0.0524 [8 per cell]  1 Al 2.41

---

Material: DyY2In3Ir2Pd
Method: DFT, GGA-PBE
State: relaxed

Properties
Density = 10.0 Mg/m³
Energy = -6.155 eV per atom

abc: 3.8831 13.1387 7.6414
angles: 90.00 90.00 90.00
Closest atoms and distances in Å follow each position.
Space group Amm2 (No. 38)
One atom of each set of equivalent atoms:
Dy 0.0000 0.0000 0.0000 [2 per cell]  4 Ir 2.98, 1 Pd 3.12, 2 In 3.19
Y 0.0000 0.2050 0.6159 [4 per cell]  4 Ir 3.02-3.03, 1 Pd 3.13, 6 In 3.16-3.35
In 0.5000 0.0000 0.6692 [2 per cell]  2 Pd 2.78, 2 Ir 2.85
In 0.5000 0.1310 0.2813 [4 per cell]  2 Pd 2.77, 2 Ir 2.85-2.87
Ir 0.5000 0.1641 0.9121 [4 per cell]  3 In 2.85-2.87, 2 Dy 2.98, 4 Y 3.02-3.03
Pd 0.0000 0.0000 0.4085 [2 per cell]  6 In 2.77-2.78

---

Material: ThCoB4
Method: DFT, GGA-PBE
State: relaxed

Properties
Density = 9.3 Mg/m³
Energy = -7.096 eV per atom

abc: 3.2207 3.2207 6.6717
angles: 90.00 90.00 120.00
Closest atoms and distances in Å follow each position.
Space group P6/mmm (No. 191)
One atom of each set of equivalent atoms:
Th 0.0000 0.0000 0.0000 [1 per cell]  12 B 2.80
Co 0.0000 0.0000 0.5000 [1 per cell]  12 B 2.23
B 0.3333 0.6667 0.3144 [4 per cell]  3 B 1.86

---

Material: MgUOs
Method: DFT, GGA-PBE
State: relaxed

Properties
Density = 10.9 Mg/m³
Energy = -6.956 eV per atom

abc: 6.5055 6.5055 6.5055
angles: 90.00 90.00 90.00
Closest atoms and distances in Å follow each position.
Space group F-43m (No. 216)
One atom of each set of equivalent atoms:
Mg 0.0000 0.0000 0.0000 [4 per cell]  4 U 2.82
U 0.2500 0.2500 0.2500 [4 per cell]  4 Os 2.82, 4 Mg 2.82
Os 0.0000 0.0000 0.5000 [4 per cell]  4 U 2.82

---

What did the fifth record say?
Material: ThCoB4
Method: DFT, GGA-PBE
State: relaxed

Properties
Density = 9.3 Mg/m³
Energy = -7.096 eV per atom

abc: 3.2207 3.2207 6.6717
angles: 90.00 90.00 120.00
Closest atoms and distances in Å follow each position.
Space group P6/mmm (No. 191)
One atom of each set of equivalent atoms:
Th 0.0000 0.0000 0.0000 [1 per cell]  12 B 2.80
Co 0.0000 0.0000 0.5000 [1 per cell]  12 B 2.23
B 0.3333 0.6667 0.3144 [4 per cell]  3 B 1.86

---

Among the records above, which one has the lowest density? HfAlTlSe3